Material: SmPu
Method: DFT, PBE
State: optimized geometry

- SG = Fm-3m
- formation energy from the elements (meV/atom) = 1046
- magnetic moment (μB per formula unit) = 5.94
- energy above the most stable polymorph in this dataset (meV/atom) = 928.4

Cell lengths 4.0938, 4.0938, 4.0938 Å; angles 60.00, 60.00, 60.00 degrees
With the nearest neighbours (Å) after each atom.
Positions (direct):
Sm 0.0000 0.0000 0.0000  6 Pu 2.89
Pu 0.5000 0.5000 0.5000  6 Sm 2.89